20
Lattice="-0.9915 4.0047 -2.2297 -6.0535 1.7054 5.7548 8.2485 4.2682 3.9978" Properties=species:S:1:pos:R:3 comment="Mg6Ag3Hg PBE-GGA optimized geometry" sg="P2_1/m, No. 11" magnetic_moment_mub_per_fu=0.00 e_tot_ev_per_atom=-2.035 vol_a3_per_cell=393.58 pbc="T T T"
Mg -2.2476 2.1937 2.4736
Mg 3.4511 7.7846 5.0492
Mg 0.5107 2.1414 1.1531
Mg 0.6928 7.8369 6.3698
Mg 1.6289 5.0215 5.8285
Mg -0.4254 4.9568 1.6943
Mg 2.4325 3.6390 2.9882
Mg -1.2290 6.3393 4.5346
Mg -2.8523 3.6727 5.3989
Mg 4.0558 6.3055 2.1239
Mg 6.7953 4.9803 3.4571
Mg -5.5918 4.9980 4.0657
Ag -0.2586 3.5918 4.1001
Ag 1.4621 6.3865 3.4227
Ag 4.2281 5.0499 4.7238
Ag -3.0246 4.9283 2.7990
Ag 3.2802 6.4909 7.7335
Ag -2.0767 3.4873 -0.2107
Hg -0.9010 5.2193 7.3089
Hg 2.1045 4.7590 0.2140

5
Lattice="4.6349 0.0000 0.0000 0.0000 4.3352 0.0000 0.0000 -2.1676 7.5502" Properties=species:S:1:pos:R:3 comment="Ac2Ga2Pb PBE-GGA optimized geometry" sg="Cmmm, No. 65" magnetic_moment_mub_per_fu=0.00 e_tot_ev_per_atom=-4.154 vol_a3_per_cell=151.71 pbc="T T T"
Ac 2.3174 2.1676 1.9664
Ac 2.3174 0.0000 5.5838
Ga 0.0000 0.0000 3.0940
Ga 0.0000 2.1676 4.4562
Pb 0.0000 0.0000 0.0000